NaRe2HgO | PBE | optimized geometry

Cell and atoms, written as POSCAR:
```
NaRe2HgO
1.0
4.973 0.000 0.000
0.000 4.973 0.000
0.000 0.000 3.915
Na Re Hg O
1 2 1 1
Direct
0.000 0.000 0.000
0.000 0.500 0.000
0.500 0.000 0.000
0.500 0.500 0.500
0.000 0.000 0.500
```

Values from the calculation:
The uncorrected formation energy is 2385 meV per atom. For the total magnetic moment, the calculation gives 7.3 μB per cell. As for the space group: P4/mmm, No. 123. Its raw total energy is -3.91 eV/atom.